## P
# SbPdRuI2 | the Alexandria database | GGA-PBE | relaxed
data_SbPdRuI2
_chemical_formula_sum 'Sb1 Pd1 Ru1 I2'
_space_group_name_H-M_alt 'P 4/m m m'
_space_group_IT_number 123
_space_group_name_Hall '-P 4 2'
_cell_length_a 5.462
_cell_length_b 5.462
_cell_length_c 5.193
_cell_angle_alpha 90.00
_cell_angle_beta 90.00
_cell_angle_gamma 90.00
loop_
_atom_site_label
_atom_site_type_symbol
_atom_site_fract_x
_atom_site_fract_y
_atom_site_fract_z
_atom_site_occupancy
Sb1 Sb 0.000 0.000 0.000 1
Pd1 Pd 0.000 0.000 0.500 1
Ru1 Ru 0.500 0.500 0.000 1
I1 I 0.000 0.500 0.500 1
# Total moment, μB per atom: 0.563

## Q
# SbPdRuI2 | the Alexandria database | GGA-PBE | relaxed
data_SbPdRuI2
_chemical_formula_sum 'Sb1 Pd1 Ru1 I2'
_space_group_name_H-M_alt 'P 4/m m m'
_space_group_IT_number 123
_space_group_name_Hall '-P 4 2'
_cell_length_a 5.485
_cell_length_b 5.485
_cell_length_c 4.953
_cell_angle_alpha 90.00
_cell_angle_beta 90.00
_cell_angle_gamma 90.00
loop_
_atom_site_label
_atom_site_type_symbol
_atom_site_fract_x
_atom_site_fract_y
_atom_site_fract_z
_atom_site_occupancy
Sb1 Sb 0.000 0.000 0.000 1
Pd1 Pd 0.500 0.500 0.000 1
Ru1 Ru 0.000 0.000 0.500 1
I1 I 0.000 0.500 0.500 1
# Total moment, μB per atom: 0.000

Most stable: Q

## P
# PdRu2SeI | the Alexandria database | GGA-PBE | relaxed
data_PdRu2SeI
_chemical_formula_sum 'Pd1 Ru2 Se1 I1'
_space_group_name_H-M_alt 'P 4/m m m'
_space_group_IT_number 123
_space_group_name_Hall '-P 4 2'
_cell_length_a 4.901
_cell_length_b 4.901
_cell_length_c 4.942
_cell_angle_alpha 90.00
_cell_angle_beta 90.00
_cell_angle_gamma 90.00
loop_
_atom_site_label
_atom_site_type_symbol
_atom_site_fract_x
_atom_site_fract_y
_atom_site_fract_z
_atom_site_occupancy
Pd1 Pd 0.000 0.000 0.000 1
Ru1 Ru 0.000 0.500 0.500 1
Se1 Se 0.500 0.500 0.000 1
I1 I 0.000 0.000 0.500 1
# Total moment, μB per atom: 0.560

## Q
# PdRu2SeI | the Alexandria database | GGA-PBE | relaxed
data_PdRu2SeI
_chemical_formula_sum 'Pd1 Ru2 Se1 I1'
_space_group_name_H-M_alt 'P 4/m m m'
_space_group_IT_number 123
_space_group_name_Hall '-P 4 2'
_cell_length_a 4.509
_cell_length_b 4.509
_cell_length_c 6.047
_cell_angle_alpha 90.00
_cell_angle_beta 90.00
_cell_angle_gamma 90.00
loop_
_atom_site_label
_atom_site_type_symbol
_atom_site_fract_x
_atom_site_fract_y
_atom_site_fract_z
_atom_site_occupancy
Pd1 Pd 0.000 0.000 0.000 1
Ru1 Ru 0.000 0.500 0.500 1
Se1 Se 0.500 0.500 0.500 1
I1 I 0.500 0.500 0.000 1
# Total moment, μB per atom: 0.567

Most stable: Q

## P
# TePdRuI2 | the Alexandria database | GGA-PBE | relaxed
data_TePdRuI2
_chemical_formula_sum 'Te1 Pd1 Ru1 I2'
_space_group_name_H-M_alt 'P 4/m m m'
_space_group_IT_number 123
_space_group_name_Hall '-P 4 2'
_cell_length_a 5.429
_cell_length_b 5.429
_cell_length_c 5.347
_cell_angle_alpha 90.00
_cell_angle_beta 90.00
_cell_angle_gamma 90.00
loop_
_atom_site_label
_atom_site_type_symbol
_atom_site_fract_x
_atom_site_fract_y
_atom_site_fract_z
_atom_site_occupancy
Te1 Te 0.000 0.000 0.000 1
Pd1 Pd 0.000 0.000 0.500 1
Ru1 Ru 0.500 0.500 0.000 1
I1 I 0.000 0.500 0.500 1
# Total moment, μB per atom: 0.774

## Q
# TePdRuI2 | the Alexandria database | GGA-PBE | relaxed
data_TePdRuI2
_chemical_formula_sum 'Te1 Pd1 Ru1 I2'
_space_group_name_H-M_alt 'P 4/m m m'
_space_group_IT_number 123
_space_group_name_Hall '-P 4 2'
_cell_length_a 5.552
_cell_length_b 5.552
_cell_length_c 4.943
_cell_angle_alpha 90.00
_cell_angle_beta 90.00
_cell_angle_gamma 90.00
loop_
_atom_site_label
_atom_site_type_symbol
_atom_site_fract_x
_atom_site_fract_y
_atom_site_fract_z
_atom_site_occupancy
Te1 Te 0.000 0.000 0.000 1
Pd1 Pd 0.500 0.500 0.000 1
Ru1 Ru 0.000 0.000 0.500 1
I1 I 0.000 0.500 0.500 1
# Total moment, μB per atom: 0.001

Most stable: Q

## P
# Pd2SI | the Alexandria database | GGA-PBE | relaxed
data_Pd2SI
_chemical_formula_sum 'Pd6 S3 I3'
_space_group_name_H-M_alt 'R -3 m'
_space_group_IT_number 166
_space_group_name_Hall '-R 3 2"'
_cell_length_a 4.0527
_cell_length_b 4.0527
_cell_length_c 20.5974
_cell_angle_alpha 90.00
_cell_angle_beta 90.00
_cell_angle_gamma 120.00
loop_
_atom_site_label
_atom_site_type_symbol
_atom_site_fract_x
_atom_site_fract_y
_atom_site_fract_z
_atom_site_occupancy
Pd1 Pd 0.0000 0.0000 0.1301 1
S1 S 0.0000 0.0000 0.5000 1
I1 I 0.0000 0.0000 0.0000 1
# Total moment, μB per atom: 0.000

## Q
# Pd2SI | the Alexandria database | GGA-PBE | relaxed
data_Pd2SI
_chemical_formula_sum 'Pd8 S4 I4'
_space_group_name_H-M_alt 'I -4 2 d'
_space_group_IT_number 122
_space_group_name_Hall 'I -4 2bw'
_cell_length_a 6.043
_cell_length_b 6.043
_cell_length_c 10.732
_cell_angle_alpha 90.00
_cell_angle_beta 90.00
_cell_angle_gamma 90.00
loop_
_atom_site_label
_atom_site_type_symbol
_atom_site_fract_x
_atom_site_fract_y
_atom_site_fract_z
_atom_site_occupancy
Pd1 Pd 0.179 0.250 0.125 1
S1 S 0.000 0.000 0.000 1
I1 I 0.000 0.000 0.500 1
# Total moment, μB per atom: 0.000

## R
# Pd2SI | the Alexandria database | GGA-PBE | relaxed
data_Pd2SI
_chemical_formula_sum 'Pd8 S4 I4'
_space_group_name_H-M_alt 'F m -3 m'
_space_group_IT_number 225
_space_group_name_Hall '-F 4 2 3'
_cell_length_a 6.671
_cell_length_b 6.671
_cell_length_c 6.671
_cell_angle_alpha 90.00
_cell_angle_beta 90.00
_cell_angle_gamma 90.00
loop_
_atom_site_label
_atom_site_type_symbol
_atom_site_fract_x
_atom_site_fract_y
_atom_site_fract_z
_atom_site_occupancy
Pd1 Pd 0.250 0.250 0.250 1
S1 S 0.000 0.000 0.000 1
I1 I 0.000 0.000 0.500 1
# Total moment, μB per atom: 0.000

Most stable: Q

## P
# Pd3SI | the Alexandria database | GGA-PBE | relaxed
data_Pd3SI
_chemical_formula_sum 'Pd3 S1 I1'
_space_group_name_H-M_alt 'P m -3 m'
_space_group_IT_number 221
_space_group_name_Hall '-P 4 2 3'
_cell_length_a 4.996
_cell_length_b 4.996
_cell_length_c 4.996
_cell_angle_alpha 90.00
_cell_angle_beta 90.00
_cell_angle_gamma 90.00
loop_
_atom_site_label
_atom_site_type_symbol
_atom_site_fract_x
_atom_site_fract_y
_atom_site_fract_z
_atom_site_occupancy
Pd1 Pd 0.000 0.000 0.500 1
S1 S 0.500 0.500 0.500 1
I1 I 0.000 0.000 0.000 1
# Total moment, μB per atom: 0.000

## Q
# Pd3SI | the Alexandria database | GGA-PBE | relaxed
data_Pd3SI
_chemical_formula_sum 'Pd3 S1 I1'
_space_group_name_H-M_alt 'P m -3 m'
_space_group_IT_number 221
_space_group_name_Hall '-P 4 2 3'
_cell_length_a 4.655
_cell_length_b 4.655
_cell_length_c 4.655
_cell_angle_alpha 90.00
_cell_angle_beta 90.00
_cell_angle_gamma 90.00
loop_
_atom_site_label
_atom_site_type_symbol
_atom_site_fract_x
_atom_site_fract_y
_atom_site_fract_z
_atom_site_occupancy
Pd1 Pd 0.000 0.000 0.500 1
S1 S 0.000 0.000 0.000 1
I1 I 0.500 0.500 0.500 1
# Total moment, μB per atom: 0.000

Most stable: Q

## P
# SbPdSI2 | the Alexandria database | GGA-PBE | relaxed
data_SbPdSI2
_chemical_formula_sum 'Sb1 Pd1 S1 I2'
_space_group_name_H-M_alt 'P 4/m m m'
_space_group_IT_number 123
_space_group_name_Hall '-P 4 2'
_cell_length_a 5.620
_cell_length_b 5.620
_cell_length_c 5.119
_cell_angle_alpha 90.00
_cell_angle_beta 90.00
_cell_angle_gamma 90.00
loop_
_atom_site_label
_atom_site_type_symbol
_atom_site_fract_x
_atom_site_fract_y
_atom_site_fract_z
_atom_site_occupancy
Sb1 Sb 0.000 0.000 0.000 1
Pd1 Pd 0.500 0.500 0.000 1
S1 S 0.000 0.000 0.500 1
I1 I 0.000 0.500 0.500 1
# Total moment, μB per atom: 0.000

## Q
# SbPdSI2 | the Alexandria database | GGA-PBE | relaxed
data_SbPdSI2
_chemical_formula_sum 'Sb1 Pd1 S1 I2'
_space_group_name_H-M_alt 'P 4/m m m'
_space_group_IT_number 123
_space_group_name_Hall '-P 4 2'
_cell_length_a 5.365
_cell_length_b 5.365
_cell_length_c 5.289
_cell_angle_alpha 90.00
_cell_angle_beta 90.00
_cell_angle_gamma 90.00
loop_
_atom_site_label
_atom_site_type_symbol
_atom_site_fract_x
_atom_site_fract_y
_atom_site_fract_z
_atom_site_occupancy
Sb1 Sb 0.000 0.000 0.000 1
Pd1 Pd 0.000 0.000 0.500 1
S1 S 0.500 0.500 0.000 1
I1 I 0.000 0.500 0.500 1
# Total moment, μB per atom: 0.000

Most stable: Q

## P
# Te2PdSI | the Alexandria database | GGA-PBE | relaxed
data_Te2PdSI
_chemical_formula_sum 'Te2 Pd1 S1 I1'
_space_group_name_H-M_alt 'P 4/m m m'
_space_group_IT_number 123
_space_group_name_Hall '-P 4 2'
_cell_length_a 5.238
_cell_length_b 5.238
_cell_length_c 5.434
_cell_angle_alpha 90.00
_cell_angle_beta 90.00
_cell_angle_gamma 90.00
loop_
_atom_site_label
_atom_site_type_symbol
_atom_site_fract_x
_atom_site_fract_y
_atom_site_fract_z
_atom_site_occupancy
Te1 Te 0.000 0.500 0.000 1
Pd1 Pd 0.000 0.000 0.500 1
S1 S 0.500 0.500 0.000 1
I1 I 0.500 0.500 0.500 1
# Total moment, μB per atom: 0.000

## Q
# Te2PdSI | the Alexandria database | GGA-PBE | relaxed
data_Te2PdSI
_chemical_formula_sum 'Te2 Pd1 S1 I1'
_space_group_name_H-M_alt 'P 4/m m m'
_space_group_IT_number 123
_space_group_name_Hall '-P 4 2'
_cell_length_a 5.297
_cell_length_b 5.297
_cell_length_c 5.300
_cell_angle_alpha 90.00
_cell_angle_beta 90.00
_cell_angle_gamma 90.00
loop_
_atom_site_label
_atom_site_type_symbol
_atom_site_fract_x
_atom_site_fract_y
_atom_site_fract_z
_atom_site_occupancy
Te1 Te 0.000 0.500 0.000 1
Pd1 Pd 0.000 0.000 0.000 1
S1 S 0.500 0.500 0.500 1
I1 I 0.000 0.000 0.500 1
# Total moment, μB per atom: 0.000

Most stable: Q

## P
# SbPdI | the Alexandria database | GGA-PBE | relaxed
data_SbPdI
_chemical_formula_sum 'Sb2 Pd2 I2'
_space_group_name_H-M_alt 'P 1'
_space_group_IT_number 1
_space_group_name_Hall 'P 1'
_cell_length_a 3.956
_cell_length_b 4.360
_cell_length_c 11.123
_cell_angle_alpha 90.79
_cell_angle_beta 90.14
_cell_angle_gamma 116.95
loop_
_atom_site_label
_atom_site_type_symbol
_atom_site_fract_x
_atom_site_fract_y
_atom_site_fract_z
_atom_site_occupancy
Sb1 Sb 0.000 0.000 0.000 1
Sb2 Sb 0.377 0.758 0.771 1
Pd1 Pd 0.313 0.623 0.118 1
Pd2 Pd 0.687 0.376 0.891 1
I1 I 0.619 0.232 0.258 1
I2 I 0.974 0.951 0.568 1
# Total moment, μB per atom: 0.000

## Q
# SbPdI | the Alexandria database | GGA-PBE | relaxed
data_SbPdI
_chemical_formula_sum 'Sb2 Pd2 I2'
_space_group_name_H-M_alt 'P 1 21/m 1'
_space_group_IT_number 11
_space_group_name_Hall '-P 2yb'
_cell_length_a 3.929
_cell_length_b 5.814
_cell_length_c 7.206
_cell_angle_alpha 90.00
_cell_angle_beta 105.62
_cell_angle_gamma 90.00
loop_
_atom_site_label
_atom_site_type_symbol
_atom_site_fract_x
_atom_site_fract_y
_atom_site_fract_z
_atom_site_occupancy
Sb1 Sb 0.042 0.250 0.082 1
Pd1 Pd 0.332 0.750 0.662 1
I1 I 0.321 0.250 0.647 1
# Total moment, μB per atom: 0.000

## R
# SbPdI | the Alexandria database | GGA-PBE | relaxed
data_SbPdI
_chemical_formula_sum 'Sb1 Pd1 I1'
_space_group_name_H-M_alt 'P 3 m 1'
_space_group_IT_number 156
_space_group_name_Hall 'P 3 -2"'
_cell_length_a 4.0235
_cell_length_b 4.0235
_cell_length_c 5.7797
_cell_angle_alpha 90.00
_cell_angle_beta 90.00
_cell_angle_gamma 120.00
loop_
_atom_site_label
_atom_site_type_symbol
_atom_site_fract_x
_atom_site_fract_y
_atom_site_fract_z
_atom_site_occupancy
Sb1 Sb 0.0000 0.0000 0.0000 1
Pd1 Pd 0.3333 0.6667 0.2400 1
I1 I 0.6667 0.3333 0.5319 1
# Total moment, μB per atom: 0.000

Most stable: P